This record from the Alexandria database describes a geometry-optimized Na2TlHSe structure. The functional is PBE.

Cell: 4.7036 4.7036 4.8698 Å, 90.00 90.00 90.00°
Atoms (fractional coordinates):
H: 0.0000 0.0000 0.0000
Na: 0.5000 0.0000 0.0000
Na: 0.0000 0.5000 0.0000
Tl: 0.0000 0.0000 0.5000
Se: 0.5000 0.5000 0.5000

Calculated values
* DOS(E_F): 0.0070 states/eV/atom
* electronic total energy: -2.790 eV/atom

=====

This record from the Alexandria database describes a geometry-optimized Ho3Si2SbPt9 structure. The functional is PBE.

Cell: 6.4046 6.4046 9.1527 Å, 90.00 90.00 120.00°
Atoms (fractional coordinates):
Ho: 0.3333 0.6667 0.7450
Ho: 0.0000 0.0000 0.0000
Ho: 0.6667 0.3333 0.2550
Pt: 0.2881 0.1440 0.7334
Pt: 0.8560 0.1440 0.7334
Pt: 0.1440 0.8560 0.2666
Pt: 0.0000 0.5000 0.0000
Pt: 0.5000 0.0000 0.0000
Pt: 0.1440 0.2881 0.2666
Pt: 0.7119 0.8560 0.2666
Pt: 0.5000 0.5000 0.0000
Pt: 0.8560 0.7119 0.7334
Sb: 0.0000 0.0000 0.5000
Si: 0.3333 0.6667 0.1763
Si: 0.6667 0.3333 0.8237

Calculated values
* DOS(E_F): 0.3039 states/eV/atom
* uncorrected formation energy: -0.71 eV/atom
* electronic total energy: -6.246 eV/atom

=====

This record from the Alexandria database describes a geometry-optimized NaTcSb2 structure. The functional is PBE.

Cell: 3.2709 3.2709 8.2938 Å, 90.00 90.00 90.00°
Atoms (fractional coordinates):
Sb: 0.0000 0.0000 0.8022
Sb: 0.0000 0.0000 0.1978
Tc: 0.5000 0.5000 0.0000
Na: 0.5000 0.5000 0.5000

Calculated values
* offset from the most stable computed form: 0.000 eV per atom
* DOS(E_F): 0.1821 states/eV/atom
* uncorrected formation energy: -0.16 eV/atom
* electronic total energy: -5.141 eV/atom

=====

This record from the Alexandria database describes a geometry-optimized MgSc2Ta structure. The functional is PBE.

Cell: 5.9317 5.9317 5.9317 Å, 148.78 126.97 62.83°
Atoms (fractional coordinates):
Sc: 0.9934 0.9934 0.0000
Sc: 0.5066 0.5066 0.0000
Ta: 0.7500 0.2500 0.5000
Mg: 0.2500 0.7500 0.5000

Calculated values
* DOS(E_F): 1.3351 states/eV/atom
* electronic total energy: -6.265 eV/atom

=====

This record from the Alexandria database describes a geometry-optimized TbTeI structure. The functional is PBE.

Cell: 4.3712 6.1469 9.5743 Å, 90.00 90.20 90.00°
Atoms (fractional coordinates):
I: 0.7523 0.2500 0.3492
I: 0.2477 0.7500 0.6508
Te: 0.7490 0.2500 0.8949
Te: 0.2510 0.7500 0.1051
Tb: 0.7493 0.7500 0.8753
Tb: 0.2507 0.2500 0.1247

Calculated values
* offset from the most stable computed form: 0.000 eV per atom
* DOS(E_F): 0.0000 states/eV/atom
* uncorrected formation energy: -1.42 eV/atom
* electronic total energy: -4.522 eV/atom

=====

This record from the Alexandria database describes a geometry-optimized Cs2K4Rb3Na2 structure. The functional is PBE.

Cell: 6.6825 6.6825 20.5550 Å, 99.36 99.36 90.00°
Atoms (fractional coordinates):
Rb: 0.8221 0.8221 0.6442
Rb: 0.1779 0.1779 0.3558
Rb: 0.0000 0.0000 0.0000
K: 0.4049 0.9049 0.8098
K: 0.9049 0.4049 0.8098
K: 0.0951 0.5951 0.1902
K: 0.5951 0.0951 0.1902
Na: 0.5410 0.5410 0.0820
Na: 0.4590 0.4590 0.9180
Cs: 0.3007 0.3007 0.6013
Cs: 0.6993 0.6993 0.3987

Calculated values
* DOS(E_F): 0.8644 states/eV/atom
* electronic total energy: -1.007 eV/atom